1.
VASP calculation (PBE) on K2HgBi after structural relaxation.

ΔE_f, meV per atom: -268
Energy relative to the lowest polymorph listed for this composition, kJ per mole of atoms: 1.4
SG: P4/mmm (123)
E_tot, eV per cell: -7.45
Total moment, μB per formula unit: 0.01

Structure (POSCAR):
```
K2HgBi
1.0
-2.682 -2.730 0.324
2.892 -2.239 5.070
-3.416 3.784 3.619
K Hg Bi
2 1 1
direct
0.000 0.000 0.500
0.000 0.500 0.000
0.500 0.500 0.500
0.500 0.000 0.000
```


2.
VASP calculation (PBE) on Pm2Dy2Y3 after structural relaxation.

ΔE_f, meV per atom: 228
Energy relative to the lowest polymorph listed for this composition, kJ per mole of atoms: 10.2
SG: I2_13 (199)
E_tot, eV per cell: -73.00
Total moment, μB per formula unit: 0.00

Structure (POSCAR):
```
Pm2Dy2Y3
1.0
7.986 0.000 -2.824
-3.993 6.916 -2.824
0.000 0.000 8.471
Dy Y Pm
4 6 4
direct
0.000 0.000 0.416
0.584 0.084 0.084
0.916 0.500 0.000
0.500 0.416 0.500
0.057 0.307 0.250
0.250 0.943 0.193
0.693 0.750 0.943
0.443 0.193 0.750
0.750 0.557 0.307
0.807 0.250 0.557
0.311 0.500 0.000
0.189 0.689 0.689
0.000 0.000 0.811
0.500 0.811 0.500
```


3.
VASP calculation (PBE) on La3SmTm4 after structural relaxation.

ΔE_f, meV per atom: 34
Energy relative to the lowest polymorph listed for this composition, kJ per mole of atoms: 0.0
SG: Pmn2_1 (31)
E_tot, eV per cell: -74.23
Total moment, μB per formula unit: 0.00

Structure (POSCAR):
```
La3SmTm4
1.0
-0.619 -5.549 -2.946
2.945 -3.388 5.763
-10.515 -1.279 4.621
Tm Sm La
8 2 6
direct
0.150 0.880 0.500
0.148 0.882 0.000
0.481 0.882 0.251
0.650 0.120 0.000
0.981 0.118 0.751
0.648 0.118 0.500
0.981 0.118 0.249
0.481 0.882 0.749
0.647 0.632 0.500
0.147 0.368 0.000
0.647 0.629 0.000
0.147 0.371 0.500
0.981 0.626 0.751
0.481 0.374 0.749
0.981 0.626 0.249
0.481 0.374 0.251
```